1.
The following is a PBE calculation of an optimized crystal structure of LiCu2Os, from Alexandria.

The space group is Immm (No. 71) and the conventional cell measures 2.5612, 4.4157 and 8.8543 Å, with angles of 90.00, 90.00 and 90.00 degrees. Symmetry generates all atoms from Li at (0.0000, 0.0000, 0.0000), Cu at (0.0000, 0.5000, 0.2569) and Os at (0.0000, 0.0000, 0.5000).

The calculation puts the distance to the lowest polymorph of the same formula at 241 meV/atom. The calculation puts the energy relative to the elements at 0.321 eV/atom.

2.
The following is a PBE calculation of an optimized crystal structure of Li2CuOs, from Alexandria.

The space group is C2/m (No. 12) and the conventional cell measures 9.1692, 2.4853 and 4.6785 Å, with angles of 90.00, 100.74 and 90.00 degrees. Symmetry generates all atoms from Li at (0.2436, 0.0000, 0.2596), Cu at (0.0000, 0.5000, 0.0000) and Os at (0.0000, 0.0000, 0.5000).

The calculation puts the distance to the lowest polymorph of the same formula at 15 meV/atom. The calculation puts the energy relative to the elements at 0.102 eV/atom.

3.
The following is a PBE calculation of an optimized crystal structure of Li2CuOs, from Alexandria.

The space group is Cmmm (No. 65) and the conventional cell measures 2.8218, 4.3023 and 8.8920 Å, with angles of 90.00, 90.00 and 90.00 degrees. Symmetry generates all atoms from Li at (0.0000, 0.0000, 0.2502), Cu at (0.0000, 0.5000, 0.0000) and Os at (0.0000, 0.5000, 0.5000).

The calculation puts the distance to the lowest polymorph of the same formula at 13 meV/atom. The calculation puts the energy relative to the elements at 0.100 eV/atom.

4.
The following is a PBE calculation of an optimized crystal structure of Li2CuOs, from Alexandria.

The space group is I4/mmm (No. 139) and the conventional cell measures 3.5491, 3.5491 and 8.3604 Å, with angles of 90.00, 90.00 and 90.00 degrees. Symmetry generates all atoms from Li at (0.0000, 0.5000, 0.2500), Cu at (0.0000, 0.0000, 0.0000) and Os at (0.0000, 0.0000, 0.5000).

The calculation puts the distance to the lowest polymorph of the same formula at 330 meV/atom. The calculation puts the energy relative to the elements at 0.417 eV/atom.

5.
The following is a PBE calculation of an optimized crystal structure of LiCu2Os, from Alexandria.

The space group is P4/mmm (No. 123) and the conventional cell measures 2.5776, 2.5776 and 8.0748 Å, with angles of 90.00, 90.00 and 90.00 degrees. Symmetry generates all atoms from Li at (0.0000, 0.0000, 0.0000), Cu at (0.5000, 0.5000, 0.2546) and Os at (0.0000, 0.0000, 0.5000).

The calculation puts the distance to the lowest polymorph of the same formula at 183 meV/atom. The calculation puts the energy relative to the elements at 0.263 eV/atom.

6.
The following is a PBE calculation of an optimized crystal structure of Li2CuOs, from Alexandria.

The space group is Fm-3m (No. 225) and the conventional cell measures 5.8144, 5.8144 and 5.8144 Å, with angles of 90.00, 90.00 and 90.00 degrees. Symmetry generates all atoms from Li at (0.2500, 0.2500, 0.2500), Cu at (0.0000, 0.0000, 0.0000) and Os at (0.0000, 0.0000, 0.5000).

The calculation puts the distance to the lowest polymorph of the same formula at 522 meV/atom. The calculation puts the energy relative to the elements at 0.609 eV/atom.

7.
The following is a PBE calculation of an optimized crystal structure of LiCu2Os, from Alexandria.

The space group is Pmmm (No. 47) and the conventional cell measures 2.5647, 4.4249 and 4.4785 Å, with angles of 90.00, 90.00 and 90.00 degrees. Symmetry generates all atoms from Li at (0.0000, 0.0000, 0.0000), Cu at (0.0000, 0.5000, 0.5000), Cu at (0.5000, 0.0000, 0.5000) and Os at (0.5000, 0.5000, 0.0000).

The calculation puts the distance to the lowest polymorph of the same formula at 244 meV/atom. The calculation puts the energy relative to the elements at 0.324 eV/atom.

8.
The following is a PBE calculation of an optimized crystal structure of LiCuOs3, from Alexandria.

The space group is Pm-3m (No. 221) and the conventional cell measures 4.0841, 4.0841 and 4.0841 Å, with angles of 90.00, 90.00 and 90.00 degrees. Symmetry generates all atoms from Li at (0.0000, 0.0000, 0.0000), Cu at (0.5000, 0.5000, 0.5000) and Os at (0.0000, 0.0000, 0.5000).

The calculation puts the distance to the lowest polymorph of the same formula at 0 meV/atom. The calculation puts the energy relative to the elements at 1.578 eV/atom.

9.
The following is a PBE calculation of an optimized crystal structure of Li2CuOs, from Alexandria.

The space group is Immm (No. 71) and the conventional cell measures 2.5298, 4.5560 and 9.0380 Å, with angles of 90.00, 90.00 and 90.00 degrees. Symmetry generates all atoms from Li at (0.0000, 0.0000, 0.2376), Cu at (0.0000, 0.5000, 0.5000) and Os at (0.0000, 0.5000, 0.0000).

The calculation puts the distance to the lowest polymorph of the same formula at 36 meV/atom. The calculation puts the energy relative to the elements at 0.123 eV/atom.

10.
The following is a PBE calculation of an optimized crystal structure of Li2CuOs, from Alexandria.

The space group is F-43m (No. 216) and the conventional cell measures 5.9424, 5.9424 and 5.9424 Å, with angles of 90.00, 90.00 and 90.00 degrees. Symmetry generates all atoms from Li at (0.0000, 0.0000, 0.0000), Li at (0.2500, 0.2500, 0.2500), Cu at (0.0000, 0.0000, 0.5000) and Os at (0.2500, 0.2500, 0.7500).

The calculation puts the distance to the lowest polymorph of the same formula at 386 meV/atom. The calculation puts the energy relative to the elements at 0.473 eV/atom.

11.
The following is a PBE calculation of an optimized crystal structure of Li3CuOs, from Alexandria.

The space group is Pm-3m (No. 221) and the conventional cell measures 4.7585, 4.7585 and 4.7585 Å, with angles of 90.00, 90.00 and 90.00 degrees. Symmetry generates all atoms from Li at (0.0000, 0.0000, 0.5000), Cu at (0.5000, 0.5000, 0.5000) and Os at (0.0000, 0.0000, 0.0000).

The calculation puts the distance to the lowest polymorph of the same formula at 181 meV/atom. The calculation puts the energy relative to the elements at 1.244 eV/atom.

12.
The following is a PBE calculation of an optimized crystal structure of LiCu2Os, from Alexandria.

The space group is Cmmm (No. 65) and the conventional cell measures 2.7096, 4.4312 and 8.9240 Å, with angles of 90.00, 90.00 and 90.00 degrees. Symmetry generates all atoms from Li at (0.0000, 0.0000, 0.0000), Cu at (0.0000, 0.5000, 0.2456) and Os at (0.0000, 0.0000, 0.5000).

The calculation puts the distance to the lowest polymorph of the same formula at 168 meV/atom. The calculation puts the energy relative to the elements at 0.248 eV/atom.

13.
The following is a PBE calculation of an optimized crystal structure of Li2CuOs, from Alexandria.

The space group is Cmmm (No. 65) and the conventional cell measures 5.1631, 8.4396 and 2.4399 Å, with angles of 90.00, 90.00 and 90.00 degrees. Symmetry generates all atoms from Li at (0.2500, 0.2500, 0.0000), Cu at (0.0000, 0.0000, 0.5000) and Os at (0.0000, 0.5000, 0.5000).

The calculation puts the distance to the lowest polymorph of the same formula at 123 meV/atom. The calculation puts the energy relative to the elements at 0.210 eV/atom.

14.
The following is a PBE calculation of an optimized crystal structure of Li2CuOs, from Alexandria.

The space group is P4/mmm (No. 123) and the conventional cell measures 2.5265, 2.5265 and 8.4317 Å, with angles of 90.00, 90.00 and 90.00 degrees. Symmetry generates all atoms from Li at (0.0000, 0.0000, 0.2464), Cu at (0.5000, 0.5000, 0.0000) and Os at (0.5000, 0.5000, 0.5000).

The calculation puts the distance to the lowest polymorph of the same formula at 86 meV/atom. The calculation puts the energy relative to the elements at 0.173 eV/atom.

15.
The following is a PBE calculation of an optimized crystal structure of LiCu2Os, from Alexandria.

The space group is Cmm2 (No. 35) and the conventional cell measures 2.7257, 4.3986 and 8.8290 Å, with angles of 90.00, 90.00 and 90.00 degrees. Symmetry generates all atoms from Li at (0.0000, 0.0000, 0.0000), Cu at (0.0000, 0.0000, 0.4900), Cu at (0.0000, 0.5000, 0.2520) and Os at (0.0000, 0.5000, 0.7442).

The calculation puts the distance to the lowest polymorph of the same formula at 111 meV/atom. The calculation puts the energy relative to the elements at 0.191 eV/atom.